(1)
Computed, not measured: a relaxed Na3CoO3 crystal at the GGA-PBEsol level of DFT.

Cell: 8.2077 8.2077 8.2077 Å, 109.47 109.47 109.47°
Sites, in units of the cell vectors:
Na: 0.0000 0.4928 0.7271
Na: 0.0000 0.7271 0.4928
Na: 0.2342 0.5072 0.5072
Na: 0.2729 0.2729 0.7658
Na: 0.2729 0.7658 0.2729
Na: 0.4928 0.0000 0.7271
Na: 0.4928 0.7271 0.0000
Na: 0.5072 0.2342 0.5072
Na: 0.5072 0.5072 0.2342
Na: 0.7271 0.0000 0.4928
Na: 0.7271 0.4928 0.0000
Na: 0.7658 0.2729 0.2729
Co: 0.0000 0.0000 0.3688
Co: 0.0000 0.3688 0.0000
Co: 0.3688 0.0000 0.0000
Co: 0.6312 0.6312 0.6312
O: 0.0000 0.2258 0.4771
O: 0.0000 0.4771 0.2258
O: 0.2258 0.0000 0.4771
O: 0.2258 0.4771 0.0000
O: 0.2513 0.7742 0.7742
O: 0.4771 0.0000 0.2258
O: 0.4771 0.2258 0.0000
O: 0.5229 0.5229 0.7487
O: 0.5229 0.7487 0.5229
O: 0.7487 0.5229 0.5229
O: 0.7742 0.2513 0.7742
O: 0.7742 0.7742 0.2513

Values from the calculation:
The excess energy over the best structure of this formula in the dataset is 60 meV per atom.



(2)
Computed, not measured: a relaxed Na6CoO4 crystal at the GGA-PBEsol level of DFT.

Cell: 7.5891 7.5891 5.8207 Å, 90.00 90.00 120.00°
Sites, in units of the cell vectors:
Na: 0.0742 0.5371 0.0000
Na: 0.1402 0.2804 0.6684
Na: 0.1402 0.8598 0.6684
Na: 0.2804 0.1402 0.1684
Na: 0.4629 0.5371 0.0000
Na: 0.4629 0.9258 0.0000
Na: 0.5371 0.0742 0.5000
Na: 0.5371 0.4629 0.5000
Na: 0.7196 0.8598 0.6684
Na: 0.8598 0.1402 0.1684
Na: 0.8598 0.7196 0.1684
Na: 0.9258 0.4629 0.5000
Co: 0.3333 0.6667 0.3932
Co: 0.6667 0.3333 0.8932
O: 0.1929 0.3859 0.2809
O: 0.1929 0.8071 0.2809
O: 0.3333 0.6667 0.7247
O: 0.3859 0.1929 0.7809
O: 0.6141 0.8071 0.2809
O: 0.6667 0.3333 0.2247
O: 0.8071 0.1929 0.7809
O: 0.8071 0.6141 0.7809

Values from the calculation:
The calculation puts the density of states at the Fermi level at 11.92 states/eV per cell. The excess energy over the best structure of this formula in the dataset is 0 meV per atom.



(3)
Computed, not measured: a relaxed NaCoO2 crystal at the GGA-PBEsol level of DFT.

Cell: 2.8879 2.8879 10.3214 Å, 90.00 90.00 120.00°
Sites, in units of the cell vectors:
Na: 0.3333 0.6667 0.2500
Na: 0.6667 0.3333 0.7500
Co: 0.0000 0.0000 0.0000
Co: 0.0000 0.0000 0.5000
O: 0.3333 0.6667 0.5929
O: 0.3333 0.6667 0.9071
O: 0.6667 0.3333 0.0929
O: 0.6667 0.3333 0.4071



(4)
Computed, not measured: a relaxed Na6CoO4 crystal at the GGA-PBEsol level of DFT.

Cell: 7.3794 7.3794 5.3912 Å, 90.00 90.00 90.00°
Sites, in units of the cell vectors:
Na: 0.0396 0.5396 0.2500
Na: 0.0396 0.9604 0.2500
Na: 0.2500 0.2500 0.1472
Na: 0.2500 0.2500 0.6472
Na: 0.4604 0.5396 0.2500
Na: 0.4604 0.9604 0.2500
Na: 0.5396 0.0396 0.7500
Na: 0.5396 0.4604 0.7500
Na: 0.7500 0.7500 0.3528
Na: 0.7500 0.7500 0.8528
Na: 0.9604 0.0396 0.7500
Na: 0.9604 0.4604 0.7500
Co: 0.2500 0.7500 0.7500
Co: 0.7500 0.2500 0.2500
O: 0.0070 0.7500 0.5792
O: 0.2500 0.5070 0.9208
O: 0.2500 0.9930 0.9208
O: 0.4930 0.7500 0.5792
O: 0.5070 0.2500 0.4208
O: 0.7500 0.0070 0.0792
O: 0.7500 0.4930 0.0792
O: 0.9930 0.2500 0.4208

Values from the calculation:
The calculation puts the density of states at the Fermi level at 5.29 states/eV per cell. The excess energy over the best structure of this formula in the dataset is 43 meV per atom.



(5)
Computed, not measured: a relaxed NaCoO3 crystal at the GGA-PBEsol level of DFT.

Cell: 3.6727 3.6727 3.6727 Å, 90.00 90.00 90.00°
Sites, in units of the cell vectors:
Na: 0.0000 0.0000 0.0000
Co: 0.5000 0.5000 0.5000
O: 0.0000 0.5000 0.5000
O: 0.5000 0.0000 0.5000
O: 0.5000 0.5000 0.0000

Values from the calculation:
The calculation puts the density of states at the Fermi level at 2.66 states/eV per cell.



(6)
Computed, not measured: a relaxed NaCoO2 crystal at the GGA-PBEsol level of DFT.

Cell: 5.5093 5.5093 5.5093 Å, 30.25 30.25 30.25°
Sites, in units of the cell vectors:
Na: 0.0000 0.0000 0.0000
Co: 0.1705 0.1705 0.1705
O: 0.5650 0.5650 0.5650
O: 0.7753 0.7753 0.7753



(7)
Computed, not measured: a relaxed Na4Co7O14 crystal at the GGA-PBEsol level of DFT.

Cell: 7.4167 7.4167 10.9711 Å, 90.00 90.00 120.00°
Sites, in units of the cell vectors:
Na: 0.0000 0.0000 0.2500
Na: 0.0000 0.0000 0.7500
Na: 0.0423 0.5899 0.2500
Na: 0.4101 0.4523 0.2500
Na: 0.4523 0.0423 0.7500
Na: 0.5477 0.9577 0.2500
Na: 0.5899 0.5477 0.7500
Na: 0.9577 0.4101 0.7500
Co: 0.0000 0.0000 0.0000
Co: 0.0000 0.0000 0.5000
Co: 0.1437 0.4286 0.0014
Co: 0.1437 0.4286 0.4986
Co: 0.2848 0.8563 0.0014
Co: 0.2848 0.8563 0.4986
Co: 0.4286 0.2848 0.5014
Co: 0.4286 0.2848 0.9986
Co: 0.5714 0.7152 0.0014
Co: 0.5714 0.7152 0.4986
Co: 0.7152 0.1437 0.5014
Co: 0.7152 0.1437 0.9986
Co: 0.8563 0.5714 0.5014
Co: 0.8563 0.5714 0.9986
O: 0.0447 0.8082 0.0884
O: 0.0447 0.8082 0.4116
O: 0.0965 0.6192 0.5840
O: 0.0965 0.6192 0.9160
O: 0.1918 0.2365 0.0884
O: 0.1918 0.2365 0.4116
O: 0.2365 0.0447 0.5884
O: 0.2365 0.0447 0.9116
O: 0.3333 0.6667 0.0934
O: 0.3333 0.6667 0.4066
O: 0.3808 0.4773 0.5840
O: 0.3808 0.4773 0.9160
O: 0.4773 0.0965 0.0840
O: 0.4773 0.0965 0.4160
O: 0.5227 0.9035 0.5840
O: 0.5227 0.9035 0.9160
O: 0.6192 0.5227 0.0840
O: 0.6192 0.5227 0.4160
O: 0.6667 0.3333 0.5934
O: 0.6667 0.3333 0.9066
O: 0.7635 0.9553 0.0884
O: 0.7635 0.9553 0.4116
O: 0.8082 0.7635 0.5884
O: 0.8082 0.7635 0.9116
O: 0.9035 0.3808 0.0840
O: 0.9035 0.3808 0.4160
O: 0.9553 0.1918 0.5884
O: 0.9553 0.1918 0.9116

Values from the calculation:
The calculation puts the density of states at the Fermi level at 37.26 states/eV per cell.



(8)
Computed, not measured: a relaxed Na7Co2O6 crystal at the GGA-PBEsol level of DFT.

Cell: 7.8854 7.8854 10.4393 Å, 104.21 104.21 42.44°
Sites, in units of the cell vectors:
Na: 0.0775 0.9225 0.7500
Na: 0.1885 0.2603 0.8076
Na: 0.2420 0.4206 0.5942
Na: 0.2603 0.1885 0.3076
Na: 0.3001 0.5810 0.3526
Na: 0.4190 0.6999 0.1474
Na: 0.4206 0.2420 0.0942
Na: 0.5794 0.7580 0.9058
Na: 0.5810 0.3001 0.8526
Na: 0.6999 0.4190 0.6474
Na: 0.7397 0.8115 0.6924
Na: 0.7580 0.5794 0.4058
Na: 0.8115 0.7397 0.1924
Na: 0.9225 0.0775 0.2500
Co: 0.0098 0.2403 0.0382
Co: 0.2403 0.0098 0.5382
Co: 0.7597 0.9902 0.4618
Co: 0.9902 0.7597 0.9618
O: 0.0041 0.3470 0.5833
O: 0.1350 0.6761 0.1256
O: 0.1514 0.6059 0.8122
O: 0.3239 0.8650 0.3744
O: 0.3470 0.0041 0.0833
O: 0.3941 0.8486 0.6878
O: 0.6059 0.1514 0.3122
O: 0.6530 0.9959 0.9167
O: 0.6761 0.1350 0.6256
O: 0.8486 0.3941 0.1878
O: 0.8650 0.3239 0.8744
O: 0.9959 0.6530 0.4167

Values from the calculation:
The calculation puts the density of states at the Fermi level at 14.03 states/eV per cell.



(9)
Computed, not measured: a relaxed Na2Co3O6 crystal at the GGA-PBEsol level of DFT.

Cell: 12.1941 12.1941 12.1941 Å, 47.17 47.17 47.17°
Sites, in units of the cell vectors:
Na: 0.0580 0.2500 0.4420
Na: 0.0843 0.0843 0.0843
Na: 0.1173 0.3827 0.7500
Na: 0.2500 0.4420 0.0580
Na: 0.2500 0.8827 0.6173
Na: 0.3827 0.7500 0.1173
Na: 0.4157 0.4157 0.4157
Na: 0.4420 0.0580 0.2500
Na: 0.5580 0.9420 0.7500
Na: 0.5843 0.5843 0.5843
Na: 0.6173 0.2500 0.8827
Na: 0.7500 0.1173 0.3827
Na: 0.7500 0.5580 0.9420
Na: 0.8827 0.6173 0.2500
Na: 0.9157 0.9157 0.9157
Na: 0.9420 0.7500 0.5580
Co: 0.0000 0.0000 0.0000
Co: 0.0000 0.0000 0.5000
Co: 0.0000 0.5000 0.0000
Co: 0.0000 0.5000 0.5000
Co: 0.1647 0.6667 0.1667
Co: 0.1667 0.1647 0.6667
Co: 0.1667 0.6647 0.6667
Co: 0.1693 0.1693 0.1693
Co: 0.3307 0.3307 0.3307
Co: 0.3333 0.8333 0.3353
Co: 0.3333 0.8333 0.8353
Co: 0.3353 0.3333 0.8333
Co: 0.5000 0.0000 0.0000
Co: 0.5000 0.0000 0.5000
Co: 0.5000 0.5000 0.0000
Co: 0.5000 0.5000 0.5000
Co: 0.6647 0.6667 0.1667
Co: 0.6667 0.1667 0.1647
Co: 0.6667 0.1667 0.6647
Co: 0.6693 0.6693 0.6693
Co: 0.8307 0.8307 0.8307
Co: 0.8333 0.3353 0.3333
Co: 0.8333 0.8353 0.3333
Co: 0.8353 0.3333 0.8333
O: 0.0253 0.8603 0.6983
O: 0.0297 0.3688 0.1976
O: 0.0299 0.6949 0.3606
O: 0.0316 0.1944 0.8630
O: 0.1312 0.4703 0.3024
O: 0.1370 0.9684 0.8056
O: 0.1394 0.8051 0.4701
O: 0.1397 0.3017 0.9747
O: 0.1944 0.8630 0.0316
O: 0.1949 0.5299 0.8606
O: 0.1976 0.0297 0.3688
O: 0.1983 0.3603 0.5253
O: 0.3024 0.1312 0.4703
O: 0.3017 0.9747 0.1397
O: 0.3051 0.6394 0.9701
O: 0.3056 0.4684 0.6370
O: 0.3603 0.5253 0.1983
O: 0.3606 0.0299 0.6949
O: 0.3630 0.6944 0.5316
O: 0.3688 0.1976 0.0297
O: 0.4684 0.6370 0.3056
O: 0.4701 0.1394 0.8051
O: 0.4703 0.3024 0.1312
O: 0.4747 0.8017 0.6397
O: 0.5253 0.1983 0.3603
O: 0.5297 0.6976 0.8688
O: 0.5299 0.8606 0.1949
O: 0.5316 0.3630 0.6944
O: 0.6312 0.8024 0.9703
O: 0.6370 0.3056 0.4684
O: 0.6394 0.9701 0.3051
O: 0.6397 0.4747 0.8017
O: 0.6944 0.5316 0.3630
O: 0.6949 0.3606 0.0299
O: 0.6983 0.0253 0.8603
O: 0.6976 0.8688 0.5297
O: 0.8017 0.6397 0.4747
O: 0.8024 0.9703 0.6312
O: 0.8051 0.4701 0.1394
O: 0.8056 0.1370 0.9684
O: 0.8603 0.6983 0.0253
O: 0.8606 0.1949 0.5299
O: 0.8630 0.0316 0.1944
O: 0.8688 0.5297 0.6976
O: 0.9684 0.8056 0.1370
O: 0.9701 0.3051 0.6394
O: 0.9703 0.6312 0.8024
O: 0.9747 0.1397 0.3017

Values from the calculation:
The calculation puts the density of states at the Fermi level at 64.24 states/eV per cell.



(10)
Computed, not measured: a relaxed NaCo2O3 crystal at the GGA-PBEsol level of DFT.

Cell: 5.7013 5.7013 5.1204 Å, 90.00 90.00 59.92°
Sites, in units of the cell vectors:
Na: 0.1821 0.8179 0.5000
Na: 0.8179 0.1821 0.0000
Co: 0.1651 0.4931 0.0216
Co: 0.4931 0.1651 0.5216
Co: 0.5069 0.8349 0.0216
Co: 0.8349 0.5069 0.5216
O: 0.1654 0.4247 0.3773
O: 0.2222 0.7778 0.9713
O: 0.4247 0.1654 0.8773
O: 0.5753 0.8346 0.3773
O: 0.7778 0.2222 0.4713
O: 0.8346 0.5753 0.8773

Values from the calculation:
The calculation puts the density of states at the Fermi level at 9.45 states/eV per cell.



(11)
Computed, not measured: a relaxed Na2CoP2O7 crystal at the GGA-PBEsol level of DFT.

Cell: 8.6453 8.6453 8.6453 Å, 126.40 74.37 132.54°
Sites, in units of the cell vectors:
Na: 0.2582 0.0000 0.7582
Na: 0.2582 0.5000 0.2582
Na: 0.7418 0.0000 0.2418
Na: 0.7418 0.5000 0.7418
Co: 0.5000 0.0000 0.0000
Co: 0.5000 0.5000 0.5000
P: 0.1048 0.4579 0.6470
P: 0.3109 0.4579 0.8530
P: 0.6891 0.5421 0.1470
P: 0.8952 0.5421 0.3530
O: 0.0967 0.3467 0.7500
O: 0.1247 0.6940 0.4307
O: 0.2298 0.4206 0.4822
O: 0.2298 0.7476 0.8092
O: 0.2367 0.3060 0.9307
O: 0.4384 0.4206 0.6908
O: 0.4384 0.7476 0.0178
O: 0.5616 0.2524 0.9822
O: 0.5616 0.5794 0.3092
O: 0.7633 0.6940 0.0693
O: 0.7702 0.2524 0.1908
O: 0.7702 0.5794 0.5178
O: 0.8753 0.3060 0.5693
O: 0.9033 0.6533 0.2500

Values from the calculation:
The calculation puts the density of states at the Fermi level at 3.03 states/eV per cell. The excess energy over the best structure of this formula in the dataset is 53 meV per atom.



(12)
Computed, not measured: a relaxed Na2CoP2O7 crystal at the GGA-PBEsol level of DFT.

Cell: 5.1741 13.5014 10.1199 Å, 90.00 119.52 90.00°
Sites, in units of the cell vectors:
Na: 0.0727 0.1083 0.3627
Na: 0.0727 0.3917 0.8627
Na: 0.4050 0.2043 0.1394
Na: 0.4050 0.2957 0.6394
Na: 0.5950 0.7043 0.3606
Na: 0.5950 0.7957 0.8606
Na: 0.9273 0.6083 0.1373
Na: 0.9273 0.8917 0.6373
Co: 0.0361 0.1679 0.7351
Co: 0.0361 0.3321 0.2351
Co: 0.9639 0.6679 0.7649
Co: 0.9639 0.8321 0.2649
P: 0.2879 0.6915 0.5506
P: 0.2879 0.8085 0.0506
P: 0.4688 0.5412 0.7675
P: 0.4688 0.9588 0.2675
P: 0.5312 0.0412 0.7325
P: 0.5312 0.4588 0.2325
P: 0.7121 0.1915 0.9494
P: 0.7121 0.3085 0.4494
O: 0.0800 0.6996 0.3787
O: 0.0800 0.8004 0.8787
O: 0.1612 0.7369 0.6442
O: 0.1612 0.7631 0.1442
O: 0.2157 0.5535 0.8061
O: 0.2157 0.9465 0.3061
O: 0.2786 0.1165 0.6410
O: 0.2786 0.3835 0.1410
O: 0.3262 0.5743 0.5885
O: 0.3262 0.9257 0.0885
O: 0.4002 0.2305 0.9068
O: 0.4002 0.2695 0.4068
O: 0.4317 0.5639 0.2233
O: 0.4317 0.9361 0.7233
O: 0.5683 0.0639 0.2767
O: 0.5683 0.4361 0.7767
O: 0.5998 0.7305 0.5932
O: 0.5998 0.7695 0.0932
O: 0.6738 0.0743 0.9115
O: 0.6738 0.4257 0.4115
O: 0.7214 0.6165 0.8590
O: 0.7214 0.8835 0.3590
O: 0.7843 0.0535 0.6939
O: 0.7843 0.4465 0.1939
O: 0.8388 0.2369 0.8558
O: 0.8388 0.2631 0.3558
O: 0.9200 0.1996 0.1213
O: 0.9200 0.3004 0.6213

Values from the calculation:
The calculation puts the density of states at the Fermi level at 1.99 states/eV per cell. The excess energy over the best structure of this formula in the dataset is 0 meV per atom.



Number 1: E -5.1668 eV per atom, total moment 4.0 μB per formula unit. Number 2: E -4.5002 eV per atom, total moment 3.1 μB per formula unit. Number 3: E -6.2276 eV per atom, total moment 0.0 μB per formula unit. Number 4: E -4.4576 eV per atom, total moment 3.1 μB per formula unit. Number 5: E -5.8492 eV per atom, total moment 3.3 μB per formula unit. Number 6: E -6.2050 eV per atom, total moment 0.0 μB per formula unit. Number 7: E -6.6260 eV per atom, total moment 3.2 μB per formula unit. Number 8: E -5.0067 eV per atom, total moment 7.0 μB per formula unit. Number 9: E -6.5458 eV per atom, total moment 1.1 μB per formula unit. Number 10: E -6.3936 eV per atom, total moment 4.7 μB per formula unit. Number 11: E -6.8291 eV per atom, total moment 3.0 μB per formula unit. Number 12: E -6.8823 eV per atom, total moment 3.0 μB per formula unit.